Record 1
The following is a PBE calculation of a relaxed Tb3Pu3WN8 crystal, from Alexandria via LeMat-Bulk.

## Properties
electronic total energy: -154.4 eV per cell
ρ: 11198 kg/m³
space-group type: C2/m (12)
energy relative to the elements, uncorrected: -1.20 eV per atom

a b c (Å): 6.7863 6.7863 6.8154
angles (deg): 119.66 119.66 60.03
Sites, in units of the cell vectors:
1 Tb 0.0000 0.0000 0.0000
2 Tb 0.0000 0.5000 0.0000
3 Tb 0.5000 0.0000 0.0000
4 Pu 0.0000 0.5000 0.5000
5 Pu 0.5000 0.0000 0.5000
6 Pu 0.5000 0.5000 0.5000
7 W 0.0000 0.0000 0.5000
8 N 0.2199 0.2199 0.7102
9 N 0.2211 0.7719 0.7122
10 N 0.2281 0.7789 0.2878
11 N 0.2490 0.2490 0.2499
12 N 0.7510 0.7510 0.7501
13 N 0.7719 0.2211 0.7122
14 N 0.7789 0.2281 0.2878
15 N 0.7801 0.7801 0.2898

---

Record 2
The following is a PBE calculation of a relaxed TbY2PuN4 crystal, from Alexandria via LeMat-Bulk.

## Properties
electronic total energy: -77.7 eV per cell
ρ: 8880 kg/m³
space-group type: P2/m (10)
energy relative to the elements, uncorrected: -1.57 eV per atom

a b c (Å): 6.0157 3.4880 6.0159
angles (deg): 90.00 109.38 90.00
Sites, in units of the cell vectors:
1 Tb 0.0000 0.0000 0.0000
2 Y 0.0000 0.5000 0.5000
3 Y 0.5000 0.0000 0.5000
4 Pu 0.5000 0.5000 0.0000
5 N 0.2547 0.5000 0.2464
6 N 0.2571 0.0000 0.7565
7 N 0.7429 0.0000 0.2435
8 N 0.7453 0.5000 0.7536

---

Record 3
The following is a PBE calculation of a relaxed TbPuZrN3 crystal, from Alexandria via LeMat-Bulk.

## Properties
electronic total energy: -120.8 eV per cell
ρ: 8925 kg/m³
space-group type: P2_1/m (11)
energy relative to the elements, uncorrected: -1.32 eV per atom

a b c (Å): 6.6480 3.3587 9.0781
angles (deg): 90.00 100.18 90.00
Sites, in units of the cell vectors:
1 Tb 0.0965 0.2500 0.3639
2 Tb 0.9035 0.7500 0.6361
3 Pu 0.2703 0.2500 0.9396
4 Pu 0.7297 0.7500 0.0604
5 Zr 0.4133 0.7500 0.6348
6 Zr 0.5867 0.2500 0.3652
7 N 0.1703 0.2500 0.6304
8 N 0.3551 0.7500 0.3835
9 N 0.4530 0.7500 0.8781
10 N 0.5470 0.2500 0.1219
11 N 0.6449 0.2500 0.6165
12 N 0.8297 0.7500 0.3696